Record 1
A plane-wave DFT calculation with SCAN was carried out for Sr3LaC at its PBEsol-relaxed geometry.

Energy of formation from the pure elements: 510 meV/atom
Crystal system: cubic

```
5
Lattice="5.548 0.000 0.000 0.000 5.548 0.000 0.000 0.000 5.548" Properties=species:S:1:pos:R:3 pbc="T T T"
Sr 2.774 0.000 0.000
Sr 0.000 2.774 0.000
Sr 0.000 0.000 2.774
C 0.000 0.000 0.000
La 2.774 2.774 2.774
```

Record 2
A plane-wave DFT calculation with SCAN was carried out for TiGaSe2N at its PBEsol-relaxed geometry.

Crystal system: tetragonal
Formation energy (no corrections): 292 meV/atom

```
5
Lattice="3.575 0.000 0.000 0.000 5.013 0.000 0.000 0.000 5.013" Properties=species:S:1:pos:R:3 pbc="T T T"
Ti 1.787 2.506 2.506
Ga 0.000 0.000 0.000
Se 0.000 2.506 0.000
Se 0.000 0.000 2.506
N 1.787 0.000 0.000
```

Record 3
A plane-wave DFT calculation with SCAN was carried out for LiVF6 at its PBEsol-relaxed geometry.

Crystal system: trigonal
Formation energy (no corrections): -2917 meV/atom

```
16
Lattice="-2.621 -0.271 -4.398 0.056 -4.004 3.202 -7.467 3.291 4.247" Properties=species:S:1:pos:R:3 pbc="T T T"
F -8.854 0.045 1.547
F -2.812 -1.602 3.485
F -7.219 0.618 -0.434
F -6.553 -0.616 1.694
F -5.733 1.763 1.291
F -4.298 -2.748 1.760
F -3.478 -0.368 1.357
F -8.238 2.404 0.802
F -7.372 1.502 3.023
F -1.793 -3.388 2.249
F -2.659 -2.486 0.028
F -1.177 -1.029 1.504
V -2.703 -1.937 1.730
V -7.329 0.953 1.320
Li -5.600 2.468 3.185
Li -1.867 0.823 1.062
```

Record 4
A plane-wave DFT calculation with SCAN was carried out for ZnTc4 at its PBEsol-relaxed geometry.

Energy of formation from the pure elements: 42 meV/atom
Crystal system: tetragonal
ΔE to the lowest computed polymorph: 0 meV/atom

```
5
Lattice="3.833 0.000 0.000 1.916 4.245 0.000 1.916 0.000 4.245" Properties=species:S:1:pos:R:3 pbc="T T T"
Tc 3.833 2.609 0.888
Tc 1.916 0.888 1.636
Tc 3.833 1.636 3.357
Tc 5.749 3.357 2.609
Zn 0.000 0.000 0.000
```